# PBE-GGA YTaNiSn, relaxed
# E = -0.49210 Ry per atom
# Calculated density = 9.230 g/cm³
# Space group = No. 216
data_YTaNiSn
_chemical_formula_sum 'Y1 Ta1 Ni1 Sn1'
_cell_length_a 4.8459
_cell_length_b 4.8459
_cell_length_c 4.8459
_cell_angle_alpha 60.00
_cell_angle_beta 60.00
_cell_angle_gamma 60.00
_space_group_name_H-M_alt 'P 1'
_space_group_IT_number 1
loop_
_space_group_symop_operation_xyz
'x,y,z'
loop_
_atom_site_label
_atom_site_fract_x
_atom_site_fract_y
_atom_site_fract_z
Y1 0.0000 0.0000 0.0000
Ta1 0.2500 0.2500 0.2500
Ni1 0.7500 0.7500 0.7500
Sn1 0.5000 0.5000 0.5000